(1)
Compound: ScMn2InO6
Source: Alexandria via LeMat-Bulk
Functional: PBE+U
Structure: relaxed

Cell lengths 5.311, 5.312, 5.658 Å; angles 62.00, 62.01, 60.00 degrees
Each line ends with the local moment (μB).
Element x y z (fractional)
Sc (0.312, 0.312, 0.064)  0.03
Mn (0.522, 0.522, 0.433)  4.46
Mn (0.011, 0.011, 0.967)  3.54
In (0.803, 0.803, 0.591)  0.02
O (0.635, 0.218, 0.232)  -0.05
O (0.218, 0.915, 0.232)  -0.05
O (0.915, 0.635, 0.232)  -0.05
O (0.376, 0.739, 0.755)  -0.04
O (0.739, 0.130, 0.755)  -0.04
O (0.130, 0.376, 0.755)  -0.04

Values from the calculation:
Crystal system: trigonal
Space-group type: R3 (146)

***

(2)
Compound: MnInSeO5
Source: Alexandria via LeMat-Bulk
Functional: PBE+U
Structure: relaxed

Cell lengths 6.694, 6.694, 7.514 Å; angles 109.53, 109.53, 115.60 degrees
Each line ends with the local moment (μB).
Element x y z (fractional)
Mn (0.245, 0.755, 0.250)  4.03
Mn (0.755, 0.245, 0.750)  4.03
In (0.000, 0.000, 0.500)  0.02
In (0.000, 0.000, 0.000)  0.02
Se (0.712, 0.288, 0.250)  0.00
Se (0.288, 0.712, 0.750)  0.00
O (0.065, 0.935, 0.250)  0.05
O (0.935, 0.065, 0.750)  0.05
O (0.918, 0.379, 0.085)  -0.13
O (0.082, 0.621, 0.915)  -0.13
O (0.621, 0.082, 0.415)  -0.13
O (0.379, 0.918, 0.585)  -0.13
O (0.827, 0.599, 0.449)  0.00
O (0.173, 0.401, 0.551)  0.00
O (0.401, 0.173, 0.051)  0.00
O (0.599, 0.827, 0.949)  0.00

Values from the calculation:
Crystal system: monoclinic
Space-group type: C2/c (15)
D(E_F) in states/eV/atom: 0.075

***

(3)
Compound: MnInSiO4
Source: Alexandria via LeMat-Bulk
Functional: PBE+U
Structure: relaxed

Cell lengths 5.328, 5.328, 6.925 Å; angles 90.00, 90.00, 115.09 degrees
Each line ends with the local moment (μB).
Element x y z (fractional)
Mn (0.500, 0.500, 0.500)  4.66
Mn (0.500, 0.500, 0.000)  4.66
In (0.823, 0.177, 0.250)  -0.01
In (0.177, 0.823, 0.750)  -0.01
Si (0.158, 0.842, 0.250)  0.01
Si (0.842, 0.158, 0.750)  0.01
O (0.189, 0.276, 0.750)  0.03
O (0.724, 0.811, 0.750)  0.03
O (0.732, 0.268, 0.939)  0.01
O (0.732, 0.268, 0.561)  0.01
O (0.268, 0.732, 0.061)  0.01
O (0.268, 0.732, 0.439)  0.01
O (0.811, 0.724, 0.250)  0.03
O (0.276, 0.189, 0.250)  0.03

Values from the calculation:
Crystal system: orthorhombic
Space-group type: Cmcm (63)
D(E_F) in states/eV/atom: 0.285

***

(4)
Compound: Mn2InSiO
Source: Alexandria via LeMat-Bulk
Functional: PBE+U
Structure: relaxed

Cell lengths 5.270, 4.889, 5.270 Å; angles 90.00, 90.00, 90.00 degrees
Each line ends with the local moment (μB).
Element x y z (fractional)
Si (0.000, 0.500, 0.000)  -0.05
Mn (0.000, 0.000, 0.500)  4.62
Mn (0.500, 0.000, 0.000)  4.57
O (0.500, 0.500, 0.500)  0.55
In (0.000, 0.000, 0.000)  -0.07

Values from the calculation:
Crystal system: tetragonal
Space-group type: P4/mmm (123)
D(E_F) in states/eV/atom: 0.608

***

(5)
Compound: Sr2MnInO5
Source: Alexandria via LeMat-Bulk
Functional: PBE+U
Structure: relaxed

Cell lengths 3.471, 6.775, 11.827 Å; angles 90.00, 90.00, 104.84 degrees
Each line ends with the local moment (μB).
Element x y z (fractional)
Sr (0.845, 0.690, 0.781)  0.00
Sr (0.087, 0.174, 0.665)  0.00
Sr (0.155, 0.310, 0.281)  0.00
Sr (0.913, 0.826, 0.165)  0.00
Mn (0.768, 0.537, 0.524)  3.96
Mn (0.232, 0.463, 0.024)  3.96
In (0.542, 0.084, 0.946)  0.01
In (0.458, 0.916, 0.446)  0.01
O (0.379, 0.758, 0.011)  -0.03
O (0.706, 0.413, 0.917)  -0.01
O (0.492, 0.984, 0.781)  0.00
O (0.267, 0.534, 0.654)  0.00
O (0.921, 0.842, 0.544)  -0.06
O (0.621, 0.242, 0.511)  -0.03
O (0.294, 0.587, 0.417)  -0.01
O (0.508, 0.016, 0.281)  0.00
O (0.733, 0.466, 0.154)  0.00
O (0.079, 0.158, 0.044)  -0.06

Values from the calculation:
Crystal system: orthorhombic
Space-group type: Cmc2_1 (36)
D(E_F) in states/eV/atom: 0.052

***

(6)
Compound: TaMnInO6
Source: Alexandria via LeMat-Bulk
Functional: PBE+U
Structure: relaxed

Cell lengths 4.747, 4.747, 9.328 Å; angles 90.00, 90.00, 90.00 degrees
Each line ends with the local moment (μB).
Element x y z (fractional)
Ta (0.500, 0.500, 0.170)  0.02
Ta (0.000, 0.000, 0.670)  0.02
Mn (0.500, 0.500, 0.833)  3.16
Mn (0.000, 0.000, 0.333)  3.16
In (0.500, 0.500, 0.501)  0.01
In (0.000, 0.000, 0.001)  0.01
O (0.180, 0.820, 0.497)  -0.04
O (0.820, 0.180, 0.497)  -0.04
O (0.320, 0.320, 0.997)  -0.04
O (0.680, 0.680, 0.997)  -0.04
O (0.200, 0.800, 0.182)  -0.04
O (0.800, 0.200, 0.182)  -0.04
O (0.300, 0.300, 0.682)  -0.04
O (0.700, 0.700, 0.682)  -0.04
O (0.789, 0.211, 0.819)  -0.04
O (0.211, 0.789, 0.819)  -0.04
O (0.711, 0.711, 0.319)  -0.04
O (0.289, 0.289, 0.319)  -0.04

Values from the calculation:
Crystal system: tetragonal
Space-group type: P4_2nm (102)

***

(7)
Compound: TaMn2InO6
Source: Alexandria via LeMat-Bulk
Functional: PBE+U
Structure: relaxed

Cell lengths 5.445, 5.446, 5.743 Å; angles 61.70, 61.70, 60.00 degrees
Each line ends with the local moment (μB).
Element x y z (fractional)
Ta (0.315, 0.315, 0.054)  0.04
Mn (0.528, 0.528, 0.415)  4.64
Mn (0.031, 0.031, 0.908)  4.63
In (0.811, 0.811, 0.566)  0.01
O (0.581, 0.210, 0.253)  0.03
O (0.210, 0.955, 0.253)  0.04
O (0.955, 0.581, 0.254)  0.04
O (0.425, 0.689, 0.770)  0.04
O (0.689, 0.115, 0.770)  0.04
O (0.115, 0.425, 0.770)  0.04

Values from the calculation:
Crystal system: trigonal
Space-group type: R3 (146)
D(E_F) in states/eV/atom: 0.000

***

(8)
Compound: TbMn2InO6
Source: Alexandria via LeMat-Bulk
Functional: PBE+U
Structure: relaxed

Cell lengths 5.431, 5.432, 5.677 Å; angles 61.42, 61.41, 60.00 degrees
Each line ends with the local moment (μB).
Element x y z (fractional)
Tb (0.795, 0.795, 0.615)  0.02
Mn (0.520, 0.520, 0.440)  4.41
Mn (0.013, 0.013, 0.961)  3.61
In (0.306, 0.306, 0.081)  0.03
O (0.649, 0.225, 0.229)  -0.04
O (0.226, 0.897, 0.229)  -0.04
O (0.897, 0.649, 0.229)  -0.04
O (0.355, 0.748, 0.744)  -0.05
O (0.748, 0.153, 0.744)  -0.05
O (0.153, 0.356, 0.744)  -0.05

Values from the calculation:
Crystal system: trigonal
Space-group type: R3 (146)

***

(9)
Compound: MnIn2TeO8
Source: Alexandria via LeMat-Bulk
Functional: PBE+U
Structure: relaxed

Cell lengths 4.845, 4.835, 6.313 Å; angles 90.00, 90.00, 93.26 degrees
Each line ends with the local moment (μB).
Element x y z (fractional)
Mn (0.000, 0.000, 0.500)  3.27
In (0.500, 0.500, 0.743)  0.00
In (0.500, 0.500, 0.257)  0.00
Te (0.000, 0.000, 0.000)  0.02
O (0.175, 0.822, 0.244)  -0.08
O (0.707, 0.710, 0.000)  0.00
O (0.825, 0.178, 0.244)  -0.08
O (0.825, 0.178, 0.756)  -0.08
O (0.293, 0.290, 0.000)  0.00
O (0.175, 0.822, 0.756)  -0.08
O (0.714, 0.717, 0.500)  -0.02
O (0.286, 0.283, 0.500)  -0.02

Values from the calculation:
Crystal system: monoclinic
Space-group type: P2/m (10)
D(E_F) in states/eV/atom: 0.073

***

(10)
Compound: MnIn2TeO6
Source: Alexandria via LeMat-Bulk
Functional: PBE+U
Structure: relaxed

Cell lengths 5.656, 5.656, 5.870 Å; angles 61.19, 61.20, 60.00 degrees
Each line ends with the local moment (μB).
Element x y z (fractional)
Mn (0.809, 0.809, 0.573)  4.64
In (0.529, 0.529, 0.413)  0.00
In (0.021, 0.021, 0.938)  0.01
Te (0.315, 0.315, 0.055)  0.03
O (0.633, 0.214, 0.249)  0.02
O (0.214, 0.905, 0.249)  0.02
O (0.905, 0.633, 0.249)  0.02
O (0.407, 0.698, 0.763)  0.01
O (0.698, 0.131, 0.763)  0.01
O (0.131, 0.407, 0.763)  0.01

Values from the calculation:
Crystal system: trigonal
Space-group type: R3 (146)
D(E_F) in states/eV/atom: 0.000

***

Number 1: final energy -73.971 eV for the cell shown. Number 2: final energy -93.776 eV for the cell shown. Number 3: final energy -97.597 eV for the cell shown. Number 4: final energy -21.624 eV for the cell shown. Number 5: final energy -113.560 eV for the cell shown. Number 6: final energy -138.669 eV for the cell shown. Number 7: final energy -79.941 eV for the cell shown. Number 8: final energy -72.381 eV for the cell shown. Number 9: final energy -70.896 eV for the cell shown. Number 10: final energy -59.463 eV for the cell shown.